DFT (meta-GGA SCAN) results for a PBEsol-optimized structure of SrAs3S.

Cell lengths 4.876, 4.876, 4.876 Å; angles 90.00, 90.00, 90.00 degrees
Space group Pm-3m (No. 221)
Inequivalent atoms, fractional coordinates:
Sr1 0.000 0.000 0.000 x1
As1 0.000 0.500 0.500 x3
S1 0.500 0.500 0.500 x1

Energy relative to the elements, uncorrected   -0.049 eV per atom
Density   4935 kg/m³
Size of the total moment   0.00 μB per cell
Calculated volume   115.9 Å³/cell
Total energy   -1.3630 Ry per atom
DOS(E_F)   3.63 states/eV per cell